This record from Alexandria via LeMat-Bulk describes an optimized crystal structure of CdTeRh2. The functional is PBE.

Calculated values
uncorrected energy: -4.76 eV/atom
mass density: 9.83 Mg/m³
ΔE to the lowest computed polymorph: 28.9 meV/atom
volume: 75 Å³ per cell
energy relative to the elements, uncorrected: -0.066 eV/atom

Geometry as extended XYZ:
```
4
Lattice="-1.7688 1.9798 5.3752 1.7688 -1.9798 5.3752 1.7688 1.9798 -5.3752" Properties=species:S:1:pos:R:3 pbc="T T T"
Cd 0.0000 0.0000 0.0000
Te 0.0000 1.9798 2.6792
Rh 1.7688 0.0000 3.2713
Rh 0.0000 0.0000 6.1970
```